A geometry-optimized BaFeO3 structure. Source: Alexandria, functional PBE+U.

abc: 4.280 4.280 8.817
angles: 90.00 90.00 120.00
Sites, in units of the cell vectors:
Ba (0.333, 0.667, 0.250)
Ba (0.667, 0.333, 0.750)
Fe (0.000, 0.000, 0.000)
Fe (0.000, 0.000, 0.500)
O (0.000, 0.000, 0.250)
O (0.000, 0.000, 0.750)
O (0.333, 0.667, 0.543)
O (0.333, 0.667, 0.957)
O (0.667, 0.333, 0.043)
O (0.667, 0.333, 0.457)

Results
DFT total energy ... -5.505 eV/atom
Space group ... P6_3/mmc, No. 194